Density functional theory data (PBE) for a relaxed NaGa2P crystal.

Summary:
Formation enthalpy at 0 K   -0.54 eV/f.u.
Total magnetization   0.000 μB per atom
Space-group type   I-42d, No. 122
E   -3.332 eV/atom

Cell: 7.888 7.888 6.185 Å, 50.38 50.38 90.00°
Sites, in units of the cell vectors:
P 0.000 0.000 0.000
P 0.750 0.250 0.500
Ga 0.694 0.125 0.250
Ga 0.056 0.625 0.250
Ga 0.375 0.306 0.750
Ga 0.875 0.944 0.750
Na 0.500 0.500 0.000
Na 0.250 0.750 0.500


Density functional theory data (PBE) for a relaxed LiGdSbPd crystal.

Summary:
Total magnetization   1.729 μB per atom
Space-group type   F-43m, No. 216
E   -7.055 eV/atom

Cell: 4.824 4.824 4.824 Å, 60.00 60.00 60.00°
Sites, in units of the cell vectors:
Sb 0.750 0.750 0.750
Gd 0.250 0.250 0.250
Pd 0.000 0.000 0.000
Li 0.500 0.500 0.500


Density functional theory data (PBE) for a relaxed BeSb2Br crystal.

Summary:
Total magnetization   0.000 μB per atom
Space-group type   Pmm2, No. 25
E   -3.213 eV/atom
ΔE to the lowest computed polymorph   272 meV/atom

Cell: 3.292 3.706 9.229 Å, 90.00 90.00 90.00°
Sites, in units of the cell vectors:
Sb 0.000 0.000 0.068
Sb 0.500 0.500 0.413
Br 0.500 0.500 0.688
Be 0.000 0.000 0.331


Density functional theory data (PBE) for a relaxed MgAl2Si crystal.

Summary:
Total magnetization   0.000 μB per atom
Space-group type   F-43m, No. 216
E   -3.420 eV/atom

Cell: 4.626 4.626 4.626 Å, 60.00 60.00 60.00°
Sites, in units of the cell vectors:
Al 0.000 0.000 0.000
Al 0.250 0.250 0.250
Mg 0.500 0.500 0.500
Si 0.750 0.750 0.750


Density functional theory data (PBE) for a relaxed LaScBr2 crystal.

Summary:
Total magnetization   0.000 μB per atom
Space-group type   P4/mmm, No. 123
E   -4.477 eV/atom
ΔE to the lowest computed polymorph   284 meV/atom

Cell: 5.085 5.085 3.732 Å, 90.00 90.00 90.00°
Sites, in units of the cell vectors:
Br 0.000 0.000 0.000
Br 0.500 0.500 0.000
La 0.500 0.000 0.500
Sc 0.000 0.500 0.500


Density functional theory data (PBE) for a relaxed Bi5Pb7 crystal.

Summary:
Formation enthalpy at 0 K   0.65 eV/f.u.
Total magnetization   0.000 μB per atom
Space-group type   Pmm2, No. 25
E   -3.726 eV/atom
ΔE to the lowest computed polymorph   13 meV/atom

Cell: 3.499 10.368 10.545 Å, 90.00 90.00 90.00°
Sites, in units of the cell vectors:
Bi 0.000 0.995 0.162
Bi 0.500 0.252 0.336
Bi 0.000 0.515 0.500
Bi 0.000 0.995 0.838
Bi 0.500 0.252 0.664
Pb 0.500 0.752 0.670
Pb 0.500 0.246 0.000
Pb 0.000 0.498 0.170
Pb 0.500 0.752 0.330
Pb 0.000 0.004 0.500
Pb 0.000 0.498 0.830
Pb 0.500 0.743 0.000


Density functional theory data (PBE) for a relaxed CdIn2SnPb crystal.

Summary:
Formation enthalpy at 0 K   0.32 eV/f.u.
Total magnetization   0.000 μB per atom
Space-group type   C2/m, No. 12
E   -2.757 eV/atom

Cell: 5.377 6.511 9.040 Å, 94.48 90.00 114.39°
Sites, in units of the cell vectors:
Cd 0.085 0.171 0.152
Cd 0.915 0.829 0.848
In 0.462 0.923 0.677
In 0.538 0.077 0.323
In 0.149 0.297 0.735
In 0.851 0.703 0.265
Sn 0.276 0.553 0.412
Sn 0.724 0.447 0.588
Pb 0.656 0.312 0.980
Pb 0.344 0.688 0.020


Density functional theory data (PBE) for a relaxed Cs2CdGaFe crystal.

Summary:
Formation enthalpy at 0 K   4.22 eV/f.u.
Total magnetization   0.678 μB per atom
Space-group type   P4/mmm, No. 123
E   -1.979 eV/atom

Cell: 7.355 4.982 7.355 Å, 90.00 90.00 90.00°
Sites, in units of the cell vectors:
Cs 0.000 0.000 0.500
Cs 0.500 0.000 0.000
Fe 0.500 0.500 0.500
Ga 0.000 0.500 0.000
Cd 0.000 0.000 0.000


Density functional theory data (PBE) for a relaxed Sr4LiMg crystal.

Summary:
Formation enthalpy at 0 K   0.98 eV/f.u.
Total magnetization   0.000 μB per atom
Space-group type   C2/m, No. 12
E   -1.543 eV/atom
ΔE to the lowest computed polymorph   171 meV/atom

Cell: 6.000 5.987 10.083 Å, 72.83 72.69 59.93°
Sites, in units of the cell vectors:
Sr 0.625 0.626 0.124
Sr 0.375 0.374 0.876
Sr 0.126 0.127 0.620
Sr 0.874 0.873 0.380
Li 0.000 0.000 0.000
Mg 0.500 0.500 0.500


Density functional theory data (PBE) for a relaxed CaPmPb crystal.

Summary:
Formation enthalpy at 0 K   -1.30 eV/f.u.
Total magnetization   0.000 μB per atom
Space-group type   P6_3/mmc, No. 194
E   -3.919 eV/atom
ΔE to the lowest computed polymorph   0 meV/atom

Cell: 5.583 5.583 6.912 Å, 90.00 90.00 120.01°
Sites, in units of the cell vectors:
Ca 0.000 0.500 0.000
Ca 0.000 0.500 0.500
Pm 0.333 0.167 0.750
Pm 0.667 0.833 0.250
Pb 0.667 0.833 0.750
Pb 0.333 0.167 0.250


Density functional theory data (PBE) for a relaxed Ba3Ga2SbO8 crystal.

Summary:
Total magnetization   0.000 μB per atom
Space-group type   P-3m1, No. 164
E   -6.076 eV/atom

Cell: 5.930 5.930 7.580 Å, 90.00 90.00 120.00°
Sites, in units of the cell vectors:
Ba 0.333 0.667 0.661
Ba 0.667 0.333 0.339
Ba 0.000 0.000 0.000
Ga 0.333 0.667 0.218
Ga 0.667 0.333 0.782
Sb 0.000 0.000 0.500
O 0.333 0.667 0.984
O 0.667 0.333 0.016
O 0.166 0.834 0.329
O 0.834 0.166 0.671
O 0.166 0.331 0.329
O 0.834 0.669 0.671
O 0.669 0.834 0.329
O 0.331 0.166 0.671


Density functional theory data (PBE) for a relaxed TaBe2ReSi crystal.

Summary:
Total magnetization   0.000 μB per atom
Space-group type   P4/mmm, No. 123
E   -6.510 eV/atom

Cell: 4.047 4.486 4.047 Å, 90.00 90.00 90.00°
Sites, in units of the cell vectors:
Re 0.000 0.500 0.000
Si 0.000 0.000 0.000
Be 0.000 0.000 0.500
Be 0.500 0.000 0.000
Ta 0.500 0.500 0.500